No. 1
Mg3AsBr: optimized geometry, PBE.

Output
Magnetization: 0.000 μB per atom
Space group: No. 221
Uncorrected formation energy: 0.336 eV/atom
Offset from the most stable computed form: 0.542 eV/atom
E: -9.43 eV/cell
N(E_F): 5.852 states/eV/f.u.

a = 5.1761 Å, b = 5.1761 Å, c = 5.1761 Å
α = 90.00°, β = 90.00°, γ = 90.00°
Closest atoms and distances in Å follow each position.
Atoms (fractional coordinates):
Mg (0.0000, 0.5000, 0.0000)  2 Br 2.59
Mg (0.0000, 0.0000, 0.5000)  2 Br 2.59
Mg (0.5000, 0.0000, 0.0000)  2 Br 2.59
As (0.5000, 0.5000, 0.5000)  12 Mg 3.66
Br (0.0000, 0.0000, 0.0000)  6 Mg 2.59

***

No. 2
Mg3AsBr: optimized geometry, PBE.

Output
Magnetization: 0.000 μB per atom
Space group: No. 221
Uncorrected formation energy: -0.206 eV/atom
Offset from the most stable computed form: 0.000 eV/atom
E: -12.14 eV/cell
N(E_F): 3.005 states/eV/f.u.

a = 5.2835 Å, b = 5.2835 Å, c = 5.2835 Å
α = 90.00°, β = 90.00°, γ = 90.00°
Closest atoms and distances in Å follow each position.
Atoms (fractional coordinates):
Mg (0.0000, 0.5000, 0.0000)  2 As 2.64
Mg (0.5000, 0.0000, 0.0000)  2 As 2.64
Mg (0.0000, 0.0000, 0.5000)  2 As 2.64
As (0.0000, 0.0000, 0.0000)  6 Mg 2.64
Br (0.5000, 0.5000, 0.5000)  12 Mg 3.74

***

No. 3
MgAsBr2: optimized geometry, PBE.

Output
Magnetization: 0.276 μB per atom
Space group: No. 65
Uncorrected formation energy: -0.334 eV/atom
Offset from the most stable computed form: 0.214 eV/atom
E: -10.93 eV/cell
N(E_F): 1.249 states/eV/f.u.

a = 3.5633 Å, b = 3.5633 Å, c = 11.6684 Å
α = 90.00°, β = 90.00°, γ = 118.00°
Closest atoms and distances in Å follow each position.
Atoms (fractional coordinates):
As (0.5000, 0.5000, 0.7500)  6 As 3.56-3.67
Br (0.0000, 0.0000, 0.4016)  2 Mg 2.55
Br (0.0000, 0.0000, 0.0984)  2 Mg 2.55
Mg (0.5000, 0.5000, 0.2500)  4 Br 2.55

***

No. 4
MgAsBr2: optimized geometry, PBE.

Output
Magnetization: 0.442 μB per atom
Space group: No. 71
Uncorrected formation energy: -0.327 eV/atom
Offset from the most stable computed form: 0.222 eV/atom
E: -10.90 eV/cell
N(E_F): 2.358 states/eV/f.u.

a = 7.7780 Å, b = 7.7780 Å, c = 7.7780 Å
α = 153.81°, β = 137.73°, γ = 50.41°
Closest atoms and distances in Å follow each position.
Atoms (fractional coordinates):
Mg (0.2500, 0.7500, 0.5000)  4 Br 2.59
Br (0.3844, 0.3844, 0.0000)  2 Mg 2.59
Br (0.1156, 0.1156, 0.0000)  2 Mg 2.59
As (0.7500, 0.2500, 0.5000)  4 Mg 3.31, 4 Br 3.38, 2 As 3.52

***

No. 5
MgAsBr3: optimized geometry, PBE.

Output
Magnetization: 0.400 μB per atom
Space group: No. 221
Uncorrected formation energy: -0.305 eV/atom
Offset from the most stable computed form: 0.000 eV/atom
E: -12.79 eV/cell
N(E_F): 6.418 states/eV/f.u.

a = 5.2622 Å, b = 5.2622 Å, c = 5.2622 Å
α = 90.00°, β = 90.00°, γ = 90.00°
Closest atoms and distances in Å follow each position.
Atoms (fractional coordinates):
Br (0.0000, 0.0000, 0.5000)  2 Mg 2.63
Br (0.5000, 0.0000, 0.0000)  2 Mg 2.63
Br (0.0000, 0.5000, 0.0000)  2 Mg 2.63
Mg (0.0000, 0.0000, 0.0000)  6 Br 2.63
As (0.5000, 0.5000, 0.5000)  12 Br 3.72

***

No. 6
MgAs2Br: optimized geometry, PBE.

Output
Magnetization: 0.000 μB per atom
Space group: No. 99
Uncorrected formation energy: -0.323 eV/atom
Offset from the most stable computed form: 0.146 eV/atom
E: -13.86 eV/cell
N(E_F): 0.779 states/eV/f.u.

a = 3.5388 Å, b = 3.5388 Å, c = 8.2466 Å
α = 90.00°, β = 90.00°, γ = 90.00°
Closest atoms and distances in Å follow each position.
Atoms (fractional coordinates):
Mg (0.5000, 0.5000, 0.7748)  5 As 2.88-3.17, 4 Br 2.93
Br (0.0000, 0.0000, 0.5896)  4 Mg 2.93
As (0.0000, 0.0000, 0.0111)  4 As 2.67
As (0.5000, 0.5000, 0.1246)  4 As 2.67, 1 Mg 2.88

***

No. 7
MgAsBr2: optimized geometry, PBE.

Output
Magnetization: 0.000 μB per atom
Space group: No. 119
Uncorrected formation energy: -0.134 eV/atom
Offset from the most stable computed form: 0.415 eV/atom
E: -10.12 eV/cell
N(E_F): 1.511 states/eV/f.u.

a = 7.0524 Å, b = 7.0524 Å, c = 7.0524 Å
α = 147.26°, β = 147.26°, γ = 46.98°
Closest atoms and distances in Å follow each position.
Atoms (fractional coordinates):
Br (0.0000, 0.0000, 0.0000)  4 Mg 2.81
Br (0.2500, 0.7500, 0.5000)  4 As 2.81
As (0.7500, 0.2500, 0.5000)  4 Br 2.81
Mg (0.5000, 0.5000, 0.0000)  4 Br 2.81

***

No. 8
MgAs2Br: optimized geometry, PBE.

Output
Magnetization: 0.000 μB per atom
Space group: No. 12
Uncorrected formation energy: -0.452 eV/atom
Offset from the most stable computed form: 0.017 eV/atom
E: -14.38 eV/cell
N(E_F): 1.214 states/eV/f.u.

a = 6.7086 Å, b = 6.7086 Å, c = 4.1007 Å
α = 97.65°, β = 97.65°, γ = 32.03°
Closest atoms and distances in Å follow each position.
Atoms (fractional coordinates):
Br (0.7500, 0.7500, 0.7500)  4 Mg 2.76
As (0.0339, 0.0339, 0.0982)  2 As 2.46
As (0.4661, 0.4661, 0.4018)  2 As 2.46
Mg (0.2500, 0.2500, 0.2500)  4 Br 2.76, 2 As 2.77

***

No. 9
MgAsBr2: optimized geometry, PBE.

Output
Magnetization: 0.001 μB per atom
Space group: No. 216
Uncorrected formation energy: 0.163 eV/atom
Offset from the most stable computed form: 0.712 eV/atom
E: -8.94 eV/cell
N(E_F): 3.987 states/eV/f.u.

a = 5.1318 Å, b = 5.1318 Å, c = 5.1318 Å
α = 60.00°, β = 60.00°, γ = 60.00°
Closest atoms and distances in Å follow each position.
Atoms (fractional coordinates):
Br (0.0000, 0.0000, 0.0000)  4 Br 3.14, 4 Mg 3.14
Br (0.7500, 0.7500, 0.7500)  4 As 3.14, 4 Br 3.14
Mg (0.2500, 0.2500, 0.2500)  4 As 3.14, 4 Br 3.14
As (0.5000, 0.5000, 0.5000)  4 Br 3.14, 4 Mg 3.14

***

No. 10
MgAs2Br: optimized geometry, PBE.

Output
Magnetization: 0.000 μB per atom
Space group: No. 139
Uncorrected formation energy: -0.107 eV/atom
Offset from the most stable computed form: 0.362 eV/atom
E: -13.00 eV/cell
N(E_F): 2.289 states/eV/f.u.

a = 4.9081 Å, b = 4.9044 Å, c = 4.9080 Å
α = 72.23°, β = 67.05°, γ = 107.78°
Closest atoms and distances in Å follow each position.
Atoms (fractional coordinates):
Mg (0.5000, 0.5000, 0.0000)  2 Br 2.71, 4 As 2.89
As (0.0000, 0.0000, 0.0000)  2 As 2.71, 2 Mg 2.89, 2 Br 2.89
As (0.5000, 0.0000, 0.5000)  2 As 2.71, 2 Br 2.89, 2 Mg 2.89
Br (0.0000, 0.5000, 0.5000)  2 Mg 2.71, 4 As 2.89

***

No. 11
MgAs4Br: optimized geometry, PBE.

Output
Magnetization: 0.000 μB per atom
Space group: No. 216
Uncorrected formation energy: 0.101 eV/atom
E: -21.26 eV/cell
N(E_F): 2.095 states/eV/f.u.

a = 6.0785 Å, b = 6.0785 Å, c = 6.0785 Å
α = 60.00°, β = 60.00°, γ = 60.00°
Closest atoms and distances in Å follow each position.
Atoms (fractional coordinates):
As (0.8075, 0.3975, 0.3975)  3 As 2.49
As (0.3975, 0.3975, 0.3975)  3 As 2.49
As (0.3975, 0.8075, 0.3975)  3 As 2.49
As (0.3975, 0.3975, 0.8075)  3 As 2.49
Br (0.7500, 0.7500, 0.7500)  12 As 3.52, 4 Mg 3.72
Mg (0.0000, 0.0000, 0.0000)  12 As 3.64, 4 Br 3.72

***

No. 12
Mg2AsBr: optimized geometry, PBE.

Output
Magnetization: 0.000 μB per atom
Space group: No. 12
Uncorrected formation energy: -0.849 eV/atom
Offset from the most stable computed form: 0.000 eV/atom
E: -12.91 eV/cell

a = 4.0462 Å, b = 4.0462 Å, c = 6.9571 Å
α = 73.95°, β = 73.95°, γ = 60.37°
Closest atoms and distances in Å follow each position.
Atoms (fractional coordinates):
Mg (0.5243, 0.5243, 0.4387)  3 As 2.65
Mg (0.9757, 0.9757, 0.0613)  3 As 2.65
Br (0.7500, 0.7500, 0.7500)  6 Mg 3.06-3.14
As (0.2500, 0.2500, 0.2500)  6 Mg 2.65

***

What is the formula in the tenth record?
MgAs2Br

***

Among the records above, which one has the highest E?
number 9

***

Which formula does entry 9 have?
MgAsBr2